Entry 1:
A plane-wave DFT calculation with PBE was carried out for a relaxed HfTaIrS2 crystal.

Output
Space-group type = P4/mmm, No. 123
Calculated total energy = -35.2 eV per cell
Formation energy (no corrections) = 72.4 kJ/mol of atoms
Energy above the lowest structure with this stoichiometry = 0 meV/atom

Unit cell a=4.6241 b=4.6241 c=4.8930 alpha=90.00 beta=90.00 gamma=90.00
Positions (direct):
Hf  0.0000  0.0000  0.0000
Ta  0.5000  0.5000  0.0000
Ir  0.5000  0.5000  0.5000
S  0.0000  0.5000  0.5000
S  0.5000  0.0000  0.5000

=====

Entry 2:
A plane-wave DFT calculation with PBE was carried out for a relaxed La8TlCu2 crystal.

Output
Space-group type = C2/m, No. 12
Formation energy from the elements = -0.0733 eV/atom
Calculated total energy = -50.8 eV per cell
Energy above the lowest structure with this stoichiometry = 54 meV/atom

Unit cell a=8.3995 b=8.3995 c=5.6509 alpha=98.73 beta=98.73 gamma=114.92
Positions (direct):
La  0.0737  0.3114  0.5733
La  0.2451  0.7549  0.0000
La  0.3114  0.0737  0.5733
La  0.3978  0.3978  0.1939
La  0.6022  0.6022  0.8061
La  0.6886  0.9263  0.4267
La  0.7549  0.2451  0.0000
La  0.9263  0.6886  0.4267
Tl  0.0000  0.0000  0.0000
Cu  0.3108  0.6892  0.5000
Cu  0.6892  0.3108  0.5000

=====

Entry 3:
A plane-wave DFT calculation with PBE was carried out for a relaxed Ni2Rh2Au crystal.

Output
Space-group type = P4/mbm, No. 127
Formation energy from the elements = 0.1855 eV/atom
Calculated total energy = -57.2 eV per cell
Energy above the lowest structure with this stoichiometry = 0 meV/atom

Unit cell a=7.1674 b=7.1674 c=2.7513 alpha=90.00 beta=90.00 gamma=90.00
Positions (direct):
Ni  0.1198  0.3802  0.0000
Ni  0.3802  0.8802  0.0000
Ni  0.6198  0.1198  0.0000
Ni  0.8802  0.6198  0.0000
Rh  0.1738  0.6738  0.5000
Rh  0.3262  0.1738  0.5000
Rh  0.6738  0.8262  0.5000
Rh  0.8262  0.3262  0.5000
Au  0.0000  0.0000  0.0000
Au  0.5000  0.5000  0.0000

=====

Entry 4:
A plane-wave DFT calculation with PBE was carried out for a relaxed Mg2TaCu crystal.

Output
Space-group type = F-43m, No. 216
Formation energy from the elements = 0.4040 eV/atom
Calculated total energy = -17.5 eV per cell
Energy above the lowest structure with this stoichiometry = 311 meV/atom

Unit cell a=4.6018 b=4.6018 c=4.6018 alpha=60.00 beta=60.00 gamma=60.00
Positions (direct):
Mg  0.0000  0.0000  0.0000
Mg  0.2500  0.2500  0.2500
Ta  0.7500  0.7500  0.7500
Cu  0.5000  0.5000  0.5000

=====

Entry 5:
A plane-wave DFT calculation with PBE was carried out for a relaxed NpP2Ru4 crystal.

Output
Space-group type = P4_2/mnm, No. 136
Formation energy from the elements = -0.5089 eV/atom
Calculated total energy = -128.9 eV per cell
Energy above the lowest structure with this stoichiometry = 0 meV/atom

Unit cell a=7.4801 b=7.4801 c=3.7949 alpha=90.00 beta=90.00 gamma=90.00
Positions (direct):
Np  0.0000  0.0000  0.0000
Np  0.5000  0.5000  0.5000
P  0.2264  0.2264  0.5000
P  0.2736  0.7264  0.0000
P  0.7264  0.2736  0.0000
P  0.7736  0.7736  0.5000
Ru  0.0737  0.6632  0.5000
Ru  0.1632  0.4263  0.0000
Ru  0.3368  0.9263  0.5000
Ru  0.4263  0.1632  0.0000
Ru  0.5737  0.8368  0.0000
Ru  0.6632  0.0737  0.5000
Ru  0.8368  0.5737  0.0000
Ru  0.9263  0.3368  0.5000

=====

Entry 6:
A plane-wave DFT calculation with PBE was carried out for a relaxed Tm3Cd2Ru crystal.

Output
Space-group type = P2/m, No. 10
Formation energy from the elements = -0.3931 eV/atom
Calculated total energy = -53.8 eV per cell

Unit cell a=4.9759 b=7.4877 c=7.8225 alpha=90.00 beta=108.52 gamma=90.00
Positions (direct):
Tm  0.0000  0.2302  0.0000
Tm  0.0000  0.7698  0.0000
Tm  0.3256  0.2198  0.6510
Tm  0.3256  0.7802  0.6510
Tm  0.6744  0.2198  0.3490
Tm  0.6744  0.7802  0.3490
Cd  0.1649  0.5000  0.3318
Cd  0.5000  0.0000  0.0000
Cd  0.5000  0.5000  0.0000
Cd  0.8351  0.5000  0.6682
Ru  0.1634  0.0000  0.3266
Ru  0.8366  0.0000  0.6734

=====

Entry 7:
A plane-wave DFT calculation with PBE was carried out for a relaxed LaTlOs2 crystal.

Output
Space-group type = P2/m, No. 10
Formation energy from the elements = 0.7353 eV/atom
Calculated total energy = -26.8 eV per cell
Energy above the lowest structure with this stoichiometry = 465 meV/atom

Unit cell a=3.0796 b=4.7698 c=5.8269 alpha=90.00 beta=91.52 gamma=90.00
Positions (direct):
La  0.0000  0.0000  0.0000
Tl  0.5000  0.0000  0.5000
Os  0.3090  0.5000  0.1948
Os  0.6910  0.5000  0.8052

=====

Entry 8:
A plane-wave DFT calculation with PBE was carried out for a relaxed TiB2W crystal.

Output
Space-group type = I-42d, No. 122
Formation energy from the elements = 0.0018 eV/atom
Calculated total energy = -68.4 eV per cell
Energy above the lowest structure with this stoichiometry = 787 meV/atom

Unit cell a=4.9490 b=4.9490 c=4.9490 alpha=106.54 beta=106.54 gamma=115.51
Positions (direct):
Ti  0.0000  0.0000  0.0000
Ti  0.7500  0.2500  0.5000
B  0.1305  0.6250  0.0055
B  0.3750  0.3805  0.5055
B  0.6195  0.1250  0.9945
B  0.8750  0.8695  0.4945
W  0.2500  0.7500  0.5000
W  0.5000  0.5000  0.0000

=====

Number 1: size of the total moment 0.00 μB/f.u.. Number 2: size of the total moment 0.00 μB/f.u.. Number 3: size of the total moment 3.21 μB/f.u.. Number 4: size of the total moment 0.00 μB/f.u.. Number 5: size of the total moment 3.09 μB/f.u.. Number 6: size of the total moment 0.00 μB/f.u.. Number 7: size of the total moment 0.00 μB/f.u.. Number 8: size of the total moment 0.00 μB/f.u..